Density functional theory data (PBE) for an optimized crystal structure of TaNb2Ru.

- total magnetization (μB/cell) = 0.0
- ΔE_f (eV per atom) = -0.2082
- E above lowest polymorph (meV/atom) = 0.0
- D(E_F) (states/eV per cell) = 2.2
- electronic total energy (eV per atom) = -10.525

Cell lengths 3.2330, 3.2330, 6.5496 Å; angles 90.00, 90.00, 90.00 degrees
Space group P4/mmm (No. 123)
Symmetry-distinct sites (fractional):
Ta 0.0000 0.0000 0.0000 x1
Nb 0.5000 0.5000 0.2559 x2
Ru 0.0000 0.0000 0.5000 x1



Density functional theory data (PBE) for an optimized crystal structure of HgRh2Se.

- total magnetization (μB/cell) = 1.4
- D(E_F) (states/eV per cell) = 15.8
- electronic total energy (eV per atom) = -4.451

Cell lengths 3.0342, 3.0342, 27.6034 Å; angles 90.00, 90.00, 120.00 degrees
Space group R3m (No. 160, hexagonal axes)
Symmetry-distinct sites (fractional):
Hg 0.0000 0.0000 0.0000 x3
Rh 0.0000 0.0000 0.2505 x3
Rh 0.0000 0.0000 0.5068 x3
Se 0.0000 0.0000 0.7780 x3



Density functional theory data (PBE) for an optimized crystal structure of YHgIrO2.

- total magnetization (μB/cell) = 0.0
- D(E_F) (states/eV per cell) = 2.4
- electronic total energy (eV per atom) = -4.976

Cell lengths 4.1886, 4.1886, 5.1873 Å; angles 90.00, 90.00, 90.00 degrees
Space group P4/mmm (No. 123)
Symmetry-distinct sites (fractional):
Y 0.0000 0.0000 0.0000 x1
Hg 0.5000 0.5000 0.5000 x1
Ir 0.5000 0.5000 0.0000 x1
O 0.0000 0.5000 0.5000 x2



Density functional theory data (PBE) for an optimized crystal structure of BaNa2GePd.

- total magnetization (μB/cell) = 0.0
- ΔE_f (eV per atom) = -0.2068
- D(E_F) (states/eV per cell) = 2.4
- electronic total energy (eV per atom) = -3.081

Cell lengths 5.4290, 5.4290, 4.8688 Å; angles 90.00, 90.00, 90.00 degrees
Space group P4/mmm (No. 123)
Symmetry-distinct sites (fractional):
Ba 0.0000 0.0000 0.0000 x1
Na 0.0000 0.5000 0.5000 x2
Ge 0.5000 0.5000 0.0000 x1
Pd 0.5000 0.5000 0.5000 x1



Density functional theory data (PBE) for an optimized crystal structure of Tl2PtPb.

- total magnetization (μB/cell) = 0.0
- ΔE_f (eV per atom) = 0.0812
- E above lowest polymorph (meV/atom) = 131.7
- D(E_F) (states/eV per cell) = 7.8
- electronic total energy (eV per atom) = -3.539

Cell lengths 3.8983, 3.8983, 24.8366 Å; angles 90.00, 90.00, 120.00 degrees
Space group R-3m (No. 166, hexagonal axes)
Symmetry-distinct sites (fractional):
Tl 0.0000 0.0000 0.2335 x6
Pt 0.0000 0.0000 0.5000 x3
Pb 0.0000 0.0000 0.0000 x3



Density functional theory data (PBE) for an optimized crystal structure of Li12Cd3Pt.

- total magnetization (μB/cell) = 0.0
- ΔE_f (eV per atom) = -0.2140
- D(E_F) (states/eV per cell) = 6.0
- electronic total energy (eV per atom) = -2.198

Cell lengths 4.3048, 4.3048, 14.9202 Å; angles 90.00, 90.00, 90.00 degrees
Space group P4/mmm (No. 123)
Symmetry-distinct sites (fractional):
Li 0.0000 0.0000 0.0000 x1
Li 0.0000 0.0000 0.2360 x2
Li 0.0000 0.0000 0.5000 x1
Li 0.0000 0.5000 0.1031 x4
Li 0.0000 0.5000 0.3652 x4
Cd 0.5000 0.5000 0.2291 x2
Cd 0.5000 0.5000 0.5000 x1
Pt 0.5000 0.5000 0.0000 x1



Density functional theory data (PBE) for an optimized crystal structure of Pr4N3.

- total magnetization (μB/cell) = 0.0
- E above lowest polymorph (meV/atom) = 0.0
- D(E_F) (states/eV per cell) = 3.1
- electronic total energy (eV per atom) = -7.362

Cell lengths 5.2115, 5.2115, 5.2115 Å; angles 90.00, 90.00, 90.00 degrees
Space group Pm-3m (No. 221)
Symmetry-distinct sites (fractional):
Pr 0.0000 0.0000 0.0000 x1
Pr 0.0000 0.5000 0.5000 x3
N 0.0000 0.0000 0.5000 x3



Density functional theory data (PBE) for an optimized crystal structure of PmSmCo.

- total magnetization (μB/cell) = 1.2
- ΔE_f (eV per atom) = -0.0071
- E above lowest polymorph (meV/atom) = 80.9
- D(E_F) (states/eV per cell) = 5.8
- electronic total energy (eV per atom) = -5.532

Cell lengths 3.4409, 6.8952, 6.9800 Å; angles 104.30, 104.22, 90.10 degrees
Space group P-1 (No. 2)
Symmetry-distinct sites (fractional):
Pm 0.1265 0.0635 0.2525 x2
Sm 0.1256 0.5629 0.2521 x2
Co 0.4998 0.2525 0.9995 x2



Density functional theory data (PBE) for an optimized crystal structure of Ge3As.

- total magnetization (μB/cell) = 0.0
- ΔE_f (eV per atom) = 0.2434
- E above lowest polymorph (meV/atom) = 0.0
- D(E_F) (states/eV per cell) = 1.4
- electronic total energy (eV per atom) = -4.382

Cell lengths 4.1353, 4.6066, 4.4622 Å; angles 90.00, 90.00, 90.00 degrees
Space group Pmm2 (No. 25)
Symmetry-distinct sites (fractional):
Ge 0.0000 0.0000 0.0000 x1
Ge 0.0000 0.5000 0.3223 x1
Ge 0.5000 0.5000 0.9363 x1
As 0.5000 0.0000 0.6315 x1



Density functional theory data (PBE) for an optimized crystal structure of BaCd6Rh.

- total magnetization (μB/cell) = 0.0
- ΔE_f (eV per atom) = -0.1370
- D(E_F) (states/eV per cell) = 14.7
- electronic total energy (eV per atom) = -1.983

Cell lengths 4.8032, 4.8032, 30.4488 Å; angles 90.00, 90.00, 120.00 degrees
Space group R-3m (No. 166, hexagonal axes)
Symmetry-distinct sites (fractional):
Ba 0.0000 0.0000 0.0000 x3
Cd 0.0000 0.0000 0.1395 x6
Cd 0.0000 0.0000 0.2392 x6
Cd 0.0000 0.0000 0.4076 x6
Rh 0.0000 0.0000 0.5000 x3



Density functional theory data (PBE) for an optimized crystal structure of Mn2PtAu2.

- total magnetization (μB/cell) = 17.4
- ΔE_f (eV per atom) = 0.0996
- E above lowest polymorph (meV/atom) = 245.1
- D(E_F) (states/eV per cell) = 3.7
- electronic total energy (eV per atom) = -6.087

Cell lengths 7.3714, 7.3714, 3.1345 Å; angles 90.00, 90.00, 90.00 degrees
Space group P4/mbm (No. 127)
Symmetry-distinct sites (fractional):
Mn 0.1563 0.3437 0.0000 x4
Pt 0.0000 0.0000 0.0000 x2
Au 0.1416 0.6416 0.5000 x4



Density functional theory data (PBE) for an optimized crystal structure of AcTb2Ga6.

- total magnetization (μB/cell) = 0.0
- ΔE_f (eV per atom) = -0.6133
- E above lowest polymorph (meV/atom) = 0.0
- D(E_F) (states/eV per cell) = 5.7
- electronic total energy (eV per atom) = -4.117

Cell lengths 7.4168, 7.4168, 4.3523 Å; angles 90.00, 90.00, 120.00 degrees
Space group P6/mmm (No. 191)
Symmetry-distinct sites (fractional):
Ac 0.0000 0.0000 0.0000 x1
Tb 0.3333 0.6667 0.0000 x2
Ga 0.0000 0.3375 0.5000 x6



Density functional theory data (PBE) for an optimized crystal structure of HgAsPb2.

- total magnetization (μB/cell) = 0.0
- ΔE_f (eV per atom) = 0.1766
- E above lowest polymorph (meV/atom) = 179.4
- D(E_F) (states/eV per cell) = 3.9
- electronic total energy (eV per atom) = -2.915

Cell lengths 4.2841, 5.4126, 9.4092 Å; angles 90.00, 90.00, 90.00 degrees
Space group Cmm2 (No. 35)
Symmetry-distinct sites (fractional):
Hg 0.0000 0.0000 0.0000 x2
As 0.0000 0.5000 0.7844 x2
Pb 0.0000 0.0000 0.5608 x2
Pb 0.0000 0.5000 0.2559 x2



Density functional theory data (PBE) for an optimized crystal structure of K3Er3US8.

- total magnetization (μB/cell) = 6.0
- D(E_F) (states/eV per cell) = 19.1
- electronic total energy (eV per atom) = -5.873

Cell lengths 7.9953, 7.9953, 22.4308 Å; angles 90.00, 90.00, 120.00 degrees
Space group R-3m (No. 166, hexagonal axes)
Symmetry-distinct sites (fractional):
K 0.0000 0.5000 0.0000 x9
Er 0.0000 0.5000 0.5000 x9
U 0.0000 0.0000 0.5000 x3
S 0.0000 0.0000 0.2328 x6
S 0.0028 0.5014 0.2316 x18



Density functional theory data (PBE) for an optimized crystal structure of Na3SrS4O12.

- total magnetization (μB/cell) = 0.0
- D(E_F) (states/eV per cell) = 20.0
- electronic total energy (eV per atom) = -5.294

Cell lengths 10.9246, 10.9246, 8.3998 Å; angles 90.00, 90.00, 120.00 degrees
Space group R32 (No. 155, hexagonal axes)
Symmetry-distinct sites (fractional):
Na 0.0000 0.5780 0.0000 x9
Sr 0.0000 0.0000 0.0000 x3
S 0.0000 0.0000 0.5000 x3
S 0.0000 0.4078 0.5000 x9
O 0.0000 0.5466 0.5000 x9
O 0.0000 0.8682 0.5000 x9
O 0.0338 0.2021 0.1921 x18



Density functional theory data (PBE) for an optimized crystal structure of K2RbCd2H6.

- total magnetization (μB/cell) = 0.0
- D(E_F) (states/eV per cell) = 7.3
- electronic total energy (eV per atom) = -2.332

Cell lengths 5.9881, 5.9881, 22.6241 Å; angles 90.00, 90.00, 120.00 degrees
Space group R-3m (No. 166, hexagonal axes)
Symmetry-distinct sites (fractional):
K 0.0000 0.0000 0.2051 x6
Rb 0.0000 0.0000 0.0000 x3
Cd 0.0000 0.0000 0.4270 x6
H 0.0106 0.5053 0.7686 x18



Density functional theory data (PBE) for an optimized crystal structure of Np2ScF8.

- total magnetization (μB/cell) = 18.0
- D(E_F) (states/eV per cell) = 21.8
- electronic total energy (eV per atom) = -7.652

Cell lengths 13.0499, 3.9582, 7.3962 Å; angles 90.00, 100.56, 90.00 degrees
Space group C2/m (No. 12)
Symmetry-distinct sites (fractional):
Np 0.2398 0.0000 0.2398 x4
Sc 0.0000 0.0000 0.5000 x2
F 0.0635 0.0000 0.2688 x4
F 0.0801 0.5000 0.6084 x4
F 0.1929 0.5000 0.0517 x4
F 0.2087 0.0000 0.5798 x4



Density functional theory data (PBE) for an optimized crystal structure of PmPrNd2.

- total magnetization (μB/cell) = 0.0
- ΔE_f (eV per atom) = 0.1476
- E above lowest polymorph (meV/atom) = 135.6
- D(E_F) (states/eV per cell) = 21.2
- electronic total energy (eV per atom) = -4.619

Cell lengths 3.5834, 3.5834, 38.4497 Å; angles 90.00, 90.00, 120.00 degrees
Space group R-3m (No. 166, hexagonal axes)
Symmetry-distinct sites (fractional):
Pm 0.0000 0.0000 0.0000 x3
Pr 0.0000 0.0000 0.5000 x3
Nd 0.0000 0.0000 0.4104 x6



Density functional theory data (PBE) for an optimized crystal structure of Re2NiAs.

- total magnetization (μB/cell) = 0.0
- ΔE_f (eV per atom) = 0.4639
- D(E_F) (states/eV per cell) = 8.8
- electronic total energy (eV per atom) = -8.368

Cell lengths 5.2927, 8.4620, 2.7915 Å; angles 90.00, 112.79, 90.00 degrees
Space group C2/m (No. 12)
Symmetry-distinct sites (fractional):
Re 0.2500 0.2500 0.0000 x4
Ni 0.0000 0.0000 0.5000 x2
As 0.0000 0.5000 0.5000 x2



Density functional theory data (PBE) for an optimized crystal structure of SbOsBr2.

- total magnetization (μB/cell) = 0.0
- E above lowest polymorph (meV/atom) = 673.8
- D(E_F) (states/eV per cell) = 10.5
- electronic total energy (eV per atom) = -3.722

Cell lengths 5.6192, 6.5654, 9.5099 Å; angles 90.00, 90.00, 90.00 degrees
Space group Fmmm (No. 69)
Symmetry-distinct sites (fractional):
Sb 0.0000 0.0000 0.0000 x4
Os 0.0000 0.0000 0.5000 x4
Br 0.0000 0.2500 0.2500 x8



Density functional theory data (PBE) for an optimized crystal structure of Ce2GeP.

- total magnetization (μB/cell) = 1.8
- ΔE_f (eV per atom) = -0.9256
- E above lowest polymorph (meV/atom) = 155.3
- D(E_F) (states/eV per cell) = 18.9
- electronic total energy (eV per atom) = -6.399

Cell lengths 4.0932, 4.0932, 21.3816 Å; angles 90.00, 90.00, 120.00 degrees
Space group R3m (No. 160, hexagonal axes)
Symmetry-distinct sites (fractional):
Ce 0.0000 0.0000 0.0000 x3
Ce 0.0000 0.0000 0.1777 x3
Ge 0.0000 0.0000 0.4211 x3
P 0.0000 0.0000 0.5908 x3